# 1
## La5SmDy6 (PBE)

Data for a geometry-optimized La5SmDy6 structure.

Summary:
energy of formation from the pure elements = 0.0231 eV/atom

Cell and atoms, written as CIF:
```
data_La5SmDy6
_space_group_name_H-M_alt 'I m m m'
_space_group_IT_number 71
_space_group_name_Hall '-I 2 2'
_cell_length_a 5.217
_cell_length_b 10.025
_cell_length_c 15.562
_cell_angle_alpha 90.00
_cell_angle_beta 90.00
_cell_angle_gamma 90.00
loop_
_atom_site_label
_atom_site_type_symbol
_atom_site_fract_x
_atom_site_fract_y
_atom_site_fract_z
_atom_site_occupancy
La1 La 0.000 0.000 0.000 1
La2 La 0.000 0.000 0.335 1
La3 La 0.000 0.500 0.333 1
Sm1 Sm 0.000 0.500 0.000 1
Dy1 Dy 0.000 0.249 0.500 1
Dy2 Dy 0.000 0.251 0.166 1
```

=====

# 2
## MgPdI4 (PBE)

Data for a geometry-optimized MgPdI4 structure.

Summary:
uncorrected formation energy = -3.26 eV per formula unit

Cell and atoms, written as CIF:
```
data_MgPdI4
_space_group_name_H-M_alt 'P 1 2/m 1'
_space_group_IT_number 10
_space_group_name_Hall '-P 2y'
_cell_length_a 7.143
_cell_length_b 4.159
_cell_length_c 7.395
_cell_angle_alpha 90.00
_cell_angle_beta 92.43
_cell_angle_gamma 90.00
loop_
_atom_site_label
_atom_site_type_symbol
_atom_site_fract_x
_atom_site_fract_y
_atom_site_fract_z
_atom_site_occupancy
Mg1 Mg 0.000 0.000 0.000 1
Pd1 Pd 0.500 0.500 0.000 1
I1 I 0.181 0.500 0.225 1
I2 I 0.331 0.000 0.785 1
```

=====

# 3
## K3NpCl8 (PBE)

Data for a geometry-optimized K3NpCl8 structure.

Summary:
uncorrected formation energy = -19.69 eV per formula unit

Cell and atoms, written as CIF:
```
data_K3NpCl8
_space_group_name_H-M_alt 'P m -3 m'
_space_group_IT_number 221
_space_group_name_Hall '-P 4 2 3'
_cell_length_a 7.144
_cell_length_b 7.144
_cell_length_c 7.144
_cell_angle_alpha 90.00
_cell_angle_beta 90.00
_cell_angle_gamma 90.00
loop_
_atom_site_label
_atom_site_type_symbol
_atom_site_fract_x
_atom_site_fract_y
_atom_site_fract_z
_atom_site_occupancy
K1 K 0.000 0.000 0.500 1
Np1 Np 0.500 0.500 0.500 1
Cl1 Cl 0.280 0.280 0.280 1
```

=====

# 4
## Cs2Sn2Se2O (PBE)

Data for a geometry-optimized Cs2Sn2Se2O structure.

Summary:
uncorrected formation energy = -6.90 eV per formula unit

Cell and atoms, written as CIF:
```
data_Cs2Sn2Se2O
_space_group_name_H-M_alt 'P -1'
_space_group_IT_number 2
_space_group_name_Hall '-P 1'
_cell_length_a 6.317
_cell_length_b 6.607
_cell_length_c 7.286
_cell_angle_alpha 104.43
_cell_angle_beta 101.49
_cell_angle_gamma 104.75
loop_
_atom_site_label
_atom_site_type_symbol
_atom_site_fract_x
_atom_site_fract_y
_atom_site_fract_z
_atom_site_occupancy
Cs1 Cs 0.232 0.116 0.291 1
Sn1 Sn 0.246 0.560 0.858 1
Se1 Se 0.374 0.185 0.827 1
O1 O 0.000 0.500 0.000 1
```

=====

# 5
## LaSmPa2P4 (PBE)

Data for a geometry-optimized LaSmPa2P4 structure.

Summary:
energy of formation from the pure elements = -1.4351 eV/atom

Cell and atoms, written as CIF:
```
data_LaSmPa2P4
_space_group_name_H-M_alt 'P 1 2/m 1'
_space_group_IT_number 10
_space_group_name_Hall '-P 2y'
_cell_length_a 7.036
_cell_length_b 4.060
_cell_length_c 7.068
_cell_angle_alpha 90.00
_cell_angle_beta 109.35
_cell_angle_gamma 90.00
loop_
_atom_site_label
_atom_site_type_symbol
_atom_site_fract_x
_atom_site_fract_y
_atom_site_fract_z
_atom_site_occupancy
La1 La 0.000 0.000 0.000 1
Sm1 Sm 0.500 0.500 0.000 1
Pa1 Pa 0.000 0.500 0.500 1
Pa2 Pa 0.500 0.000 0.500 1
P1 P 0.248 0.000 0.734 1
P2 P 0.260 0.500 0.269 1
```

=====

Magnetization per entry: 0.000 0.261 0.162 0.000 0.000 μB/atom
DFT total energy per entry: -4.724 -2.708 -4.224 -4.077 -7.720 eV/atom